The following is a PBE calculation of a geometry-optimized Ho2TeH structure, from Alexandria.

E = -4.603 eV per atom
E above lowest polymorph = 118 meV per atom
Fermi-level density of states = 2.48 states/eV/cell

abc: 7.2771 7.2771 7.2771
angles: 30.63 30.63 30.63
With the nearest neighbours (Å) after each atom.
Element x y z (fractional)
1 Ho 0.2307 0.2307 0.2307  3 H 2.59
2 Ho 0.7693 0.7693 0.7693  3 H 2.59
3 Te 0.0000 0.0000 0.0000  6 Ho 3.08
4 H 0.5000 0.5000 0.5000  6 Ho 2.59

---

The following is a PBE calculation of a geometry-optimized HfScIrAu structure, from Alexandria.

E = -7.862 eV per atom
E above lowest polymorph = 44 meV per atom
ΔE_f = -0.757 eV/atom
Fermi-level density of states = 3.35 states/eV/cell

abc: 4.7080 4.7080 4.7080
angles: 60.00 60.00 60.00
With the nearest neighbours (Å) after each atom.
Element x y z (fractional)
1 Hf 0.0000 0.0000 0.0000  4 Ir 2.88, 4 Au 2.88
2 Sc 0.5000 0.5000 0.5000  4 Ir 2.88, 4 Au 2.88
3 Ir 0.7500 0.7500 0.7500  4 Sc 2.88, 4 Hf 2.88
4 Au 0.2500 0.2500 0.2500  4 Sc 2.88, 4 Hf 2.88

---

The following is a PBE calculation of a geometry-optimized IrRu2 structure, from Alexandria.

E = -9.126 eV per atom
E above lowest polymorph = 61 meV per atom
ΔE_f = 0.012 eV/atom
Fermi-level density of states = 14.16 states/eV/cell

abc: 11.8187 11.8187 11.8187
angles: 161.31 161.31 26.55
With the nearest neighbours (Å) after each atom.
Element x y z (fractional)
1 Ir 0.2923 0.5423 0.7500  10 Ru 2.69-2.73, 2 Ir 2.73
2 Ir 0.4577 0.7077 0.7500  10 Ru 2.69-2.73, 2 Ir 2.73
3 Ir 0.5423 0.2923 0.2500  10 Ru 2.69-2.73, 2 Ir 2.73
4 Ir 0.7077 0.4577 0.2500  10 Ru 2.69-2.73, 2 Ir 2.73
5 Ru 0.0418 0.7918 0.2500  6 Ru 2.70-2.72, 6 Ir 2.71-2.73
6 Ru 0.1255 0.3755 0.7500  4 Ir 2.69-2.71, 8 Ru 2.70-2.72
7 Ru 0.2082 0.9582 0.2500  6 Ru 2.70-2.72, 6 Ir 2.71-2.73
8 Ru 0.3755 0.1255 0.2500  4 Ir 2.69-2.71, 8 Ru 2.70-2.72
9 Ru 0.6245 0.8745 0.7500  4 Ir 2.69-2.71, 8 Ru 2.70-2.72
10 Ru 0.7918 0.0418 0.7500  6 Ru 2.70-2.72, 6 Ir 2.71-2.73
11 Ru 0.8745 0.6245 0.2500  4 Ir 2.69-2.71, 8 Ru 2.70-2.72
12 Ru 0.9582 0.2082 0.7500  6 Ru 2.70-2.72, 6 Ir 2.71-2.73

---

The following is a PBE calculation of a geometry-optimized Cu2RhAu structure, from Alexandria.

E = -4.623 eV per atom
ΔE_f = 0.083 eV/atom
Fermi-level density of states = 3.77 states/eV/cell

abc: 2.7214 3.7463 5.5893
angles: 90.00 90.00 90.00
With the nearest neighbours (Å) after each atom.
Element x y z (fractional)
1 Cu 0.0000 0.0000 0.0000  1 Rh 2.59, 6 Cu 2.66-2.72, 4 Au 2.71
2 Cu 0.5000 0.5000 0.2331  4 Rh 2.65, 6 Cu 2.66-2.72, 2 Au 2.71-2.88
3 Rh 0.0000 0.0000 0.4633  5 Cu 2.59-2.65, 2 Rh 2.72, 4 Au 2.81
4 Au 0.5000 0.5000 0.7480  6 Cu 2.71-2.88, 2 Au 2.72, 4 Rh 2.81

---

The following is a PBE calculation of a geometry-optimized Tc2ClF2 structure, from Alexandria.

energy relative to the elements, uncorrected = -0.693 eV per atom
E = -5.957 eV per atom
E above lowest polymorph = 0 meV per atom
Fermi-level density of states = 4.07 states/eV/cell

abc: 6.4846 6.4846 4.0675
angles: 90.00 90.00 90.00
With the nearest neighbours (Å) after each atom.
Element x y z (fractional)
1 Tc 0.1144 0.3856 0.0000  2 F 2.06, 1 Tc 2.10
2 Tc 0.3856 0.8856 0.0000  2 F 2.06, 1 Tc 2.10
3 Tc 0.6144 0.1144 0.0000  2 F 2.06, 1 Tc 2.10
4 Tc 0.8856 0.6144 0.0000  2 F 2.06, 1 Tc 2.10
5 Cl 0.0000 0.0000 0.0000  4 Tc 2.61
6 Cl 0.5000 0.5000 0.0000  4 Tc 2.61
7 F 0.1522 0.3478 0.5000  2 Tc 2.06
8 F 0.3478 0.8478 0.5000  2 Tc 2.06
9 F 0.6522 0.1522 0.5000  2 Tc 2.06
10 F 0.8478 0.6522 0.5000  2 Tc 2.06

---

The following is a PBE calculation of a geometry-optimized Zn5Ni4Ag structure, from Alexandria.

E = -3.432 eV per atom
ΔE_f = -0.197 eV/atom
Fermi-level density of states = 4.61 states/eV/cell

abc: 2.7412 2.7412 17.2174
angles: 90.00 90.00 90.00
With the nearest neighbours (Å) after each atom.
Element x y z (fractional)
1 Zn 0.0000 0.0000 0.0000  8 Ni 2.53, 4 Zn 2.74
2 Zn 0.0000 0.0000 0.1878  8 Ni 2.52-2.54, 4 Zn 2.74
3 Zn 0.0000 0.0000 0.3771  4 Ni 2.53, 4 Zn 2.74
4 Zn 0.0000 0.0000 0.6229  4 Ni 2.53, 4 Zn 2.74
5 Zn 0.0000 0.0000 0.8122  8 Ni 2.52-2.54, 4 Zn 2.74
6 Ni 0.5000 0.5000 0.0942  8 Zn 2.52-2.53, 4 Ni 2.74
7 Ni 0.5000 0.5000 0.2830  8 Zn 2.53-2.54, 4 Ni 2.74
8 Ni 0.5000 0.5000 0.7170  8 Zn 2.53-2.54, 4 Ni 2.74
9 Ni 0.5000 0.5000 0.9058  8 Zn 2.52-2.53, 4 Ni 2.74
10 Ag 0.5000 0.5000 0.5000  4 Ag 2.74, 8 Zn 2.87

---

The following is a PBE calculation of a geometry-optimized ScTeAu2 structure, from Alexandria.

energy relative to the elements, uncorrected = -0.532 eV per atom
E = -4.539 eV per atom
Fermi-level density of states = 1.46 states/eV/cell

abc: 3.7187 3.7673 6.7120
angles: 90.00 105.42 90.00
With the nearest neighbours (Å) after each atom.
Element x y z (fractional)
1 Sc 0.0000 0.0000 0.0000  1 Au 2.73, 4 Te 2.96
2 Te 0.5994 0.5000 0.2045  4 Sc 2.96, 3 Au 2.98-3.06
3 Au 0.3755 0.5000 0.7433  4 Au 2.86, 1 Te 2.98, 4 Sc 3.12-3.13
4 Au 0.7962 0.0000 0.5775  1 Sc 2.73, 4 Au 2.86, 2 Te 3.06

---

The following is a PBE calculation of a geometry-optimized Pr3ErCd2 structure, from Alexandria.

E = -3.642 eV per atom
E above lowest polymorph = 0 meV per atom
ΔE_f = -0.187 eV/atom
Fermi-level density of states = 8.01 states/eV/cell

abc: 3.8040 3.8040 12.7772
angles: 90.00 90.00 90.00
With the nearest neighbours (Å) after each atom.
Element x y z (fractional)
1 Pr 0.0000 0.0000 0.0000  8 Cd 3.36
2 Pr 0.0000 0.0000 0.3123  4 Cd 3.33, 4 Er 3.60
3 Pr 0.0000 0.0000 0.6877  4 Cd 3.33, 4 Er 3.60
4 Er 0.5000 0.5000 0.5000  8 Pr 3.60, 4 Er 3.80
5 Cd 0.5000 0.5000 0.1581  8 Pr 3.33-3.36
6 Cd 0.5000 0.5000 0.8419  8 Pr 3.33-3.36

---

The following is a PBE calculation of a geometry-optimized SmDy2Sc structure, from Alexandria.

E = -4.910 eV per atom
E above lowest polymorph = 121 meV per atom
ΔE_f = 0.154 eV/atom
Fermi-level density of states = 10.05 states/eV/cell

abc: 5.5673 5.5673 5.5673
angles: 60.00 60.00 60.00
With the nearest neighbours (Å) after each atom.
Element x y z (fractional)
1 Sm 0.0000 0.0000 0.0000  8 Dy 3.41
2 Dy 0.2500 0.2500 0.2500  4 Sc 3.41, 4 Sm 3.41
3 Dy 0.7500 0.7500 0.7500  4 Sc 3.41, 4 Sm 3.41
4 Sc 0.5000 0.5000 0.5000  8 Dy 3.41

---

The following is a PBE calculation of a geometry-optimized ScAuO3 structure, from Alexandria.

energy relative to the elements, uncorrected = -1.678 eV per atom
E = -6.575 eV per atom

abc: 3.2430 6.2553 7.4183
angles: 73.08 81.14 77.30
With the nearest neighbours (Å) after each atom.
Element x y z (fractional)
1 Sc 0.2060 0.2529 0.3530  6 O 2.07-2.25
2 Sc 0.7940 0.7471 0.6470  6 O 2.07-2.25
3 Au 0.4969 0.8122 0.1822  4 O 2.01-2.04
4 Au 0.5031 0.1878 0.8178  4 O 2.01-2.04
5 O 0.3183 0.8700 0.4383  1 Au 2.01, 2 Sc 2.21-2.22
6 O 0.3440 0.1578 0.1002  2 Au 2.04, 1 Sc 2.08
7 O 0.3586 0.5284 0.7218  1 Au 2.01, 2 Sc 2.07-2.08
8 O 0.6414 0.4716 0.2782  1 Au 2.01, 2 Sc 2.07-2.08
9 O 0.6560 0.8422 0.8998  2 Au 2.04, 1 Sc 2.08
10 O 0.6817 0.1300 0.5617  1 Au 2.01, 2 Sc 2.21-2.22

---

The following is a PBE calculation of a geometry-optimized CsAl2Au2 structure, from Alexandria.

E = -2.942 eV per atom
E above lowest polymorph = 315 meV per atom
ΔE_f = 0.037 eV/atom
Fermi-level density of states = 5.01 states/eV/cell

abc: 8.8781 8.8781 3.0991
angles: 90.00 90.00 90.00
With the nearest neighbours (Å) after each atom.
Element x y z (fractional)
1 Cs 0.0000 0.0000 0.0000  2 Cs 3.10, 4 Au 3.45
2 Cs 0.5000 0.5000 0.0000  2 Cs 3.10, 4 Au 3.45
3 Al 0.1224 0.3776 0.5000  4 Au 2.76, 1 Al 3.07
4 Al 0.3776 0.8776 0.5000  4 Au 2.76, 1 Al 3.07
5 Al 0.6224 0.1224 0.5000  4 Au 2.76, 1 Al 3.07
6 Al 0.8776 0.6224 0.5000  4 Au 2.76, 1 Al 3.07
7 Au 0.1351 0.6351 0.0000  4 Al 2.76
8 Au 0.3649 0.1351 0.0000  4 Al 2.76
9 Au 0.6351 0.8649 0.0000  4 Al 2.76
10 Au 0.8649 0.3649 0.0000  4 Al 2.76

---

The following is a PBE calculation of a geometry-optimized TbTh2CrN5 structure, from Alexandria.

energy relative to the elements, uncorrected = -1.053 eV per atom
E = -8.911 eV per atom
Fermi-level density of states = 1.13 states/eV/cell

abc: 6.7339 6.7339 5.7301
angles: 90.00 90.00 90.00
With the nearest neighbours (Å) after each atom.
Element x y z (fractional)
1 Tb 0.0000 0.0000 0.0000  10 N 2.87-2.90
2 Tb 0.5000 0.5000 0.0000  10 N 2.87-2.90
3 Th 0.1698 0.3302 0.5000  8 N 2.39-2.62
4 Th 0.3302 0.8302 0.5000  8 N 2.39-2.62
5 Th 0.6698 0.1698 0.5000  8 N 2.39-2.62
6 Th 0.8302 0.6698 0.5000  8 N 2.39-2.62
7 Cr 0.0000 0.5000 0.0000  4 N 1.86
8 Cr 0.5000 0.0000 0.0000  4 N 1.86
9 N 0.0000 0.0000 0.5000  4 Th 2.50
10 N 0.1405 0.6405 0.2258  1 Cr 1.86
11 N 0.1405 0.6405 0.7742  1 Cr 1.86
12 N 0.3595 0.1405 0.2258  1 Cr 1.86
13 N 0.3595 0.1405 0.7742  1 Cr 1.86
14 N 0.5000 0.5000 0.5000  4 Th 2.50
15 N 0.6405 0.8595 0.2258  1 Cr 1.86
16 N 0.6405 0.8595 0.7742  1 Cr 1.86
17 N 0.8595 0.3595 0.2258  1 Cr 1.86
18 N 0.8595 0.3595 0.7742  1 Cr 1.86